1.
VASP calculation (PBE-GGA) on crystalline Ba2TlBi2 at its relaxed geometry.

Magnetization   0.0 μB/cell
Polymorph energy (0 for the lowest one)   0.0000 eV per atom
Calculated formation energy   -0.682 eV per atom

Unit cell a=8.927 b=8.927 c=5.076 alpha=90.00 beta=90.00 gamma=90.00
Fractional positions:
Ba  0.177  0.323  0.000
Ba  0.323  0.823  0.000
Ba  0.677  0.177  0.000
Ba  0.823  0.677  0.000
Tl  0.000  0.000  0.500
Tl  0.500  0.500  0.500
Bi  0.121  0.621  0.500
Bi  0.379  0.121  0.500
Bi  0.621  0.879  0.500
Bi  0.879  0.379  0.500

***

2.
VASP calculation (PBE-GGA) on crystalline PmDy4Sc4 at its relaxed geometry.

Magnetization   0.0 μB/cell
Calculated formation energy   0.054 eV per atom

Unit cell a=7.673 b=7.673 c=7.673 alpha=95.67 beta=95.67 gamma=143.37
Fractional positions:
Pm  0.000  0.000  0.000
Dy  0.000  0.329  0.329
Dy  0.000  0.671  0.671
Dy  0.329  0.000  0.329
Dy  0.671  0.000  0.671
Sc  0.332  0.332  0.665
Sc  0.332  0.668  0.000
Sc  0.668  0.332  0.000
Sc  0.668  0.668  0.335

***

3.
VASP calculation (PBE-GGA) on crystalline SbOF2 at its relaxed geometry.

Magnetization   2.1 μB/cell
Polymorph energy (0 for the lowest one)   1.4060 eV per atom
ΔE_f (raw)   -0.365 eV per atom

Unit cell a=8.564 b=8.564 c=8.564 alpha=21.59 beta=21.59 gamma=21.59
Fractional positions:
Sb  0.000  0.000  0.000
O  0.500  0.500  0.500
F  0.080  0.080  0.080
F  0.920  0.920  0.920

***

4.
VASP calculation (PBE-GGA) on crystalline SmHoBi at its relaxed geometry.

Magnetization   0.0 μB/cell
Calculated formation energy   -0.633 eV per atom

Unit cell a=4.582 b=4.582 c=8.763 alpha=90.02 beta=90.02 gamma=90.00
Fractional positions:
Sm  0.250  0.250  0.151
Sm  0.750  0.750  0.849
Ho  0.250  0.750  0.500
Ho  0.750  0.250  0.500
Bi  0.250  0.250  0.777
Bi  0.750  0.750  0.223

***

Number 3 is which compound?
SbOF2